Entry 1:
Na2Pm3ErTe6 | PBE | optimized geometry

* ΔE_f (raw): -1336 meV/atom
* space group: C2/m, No. 12

Cell lengths 7.701, 7.701, 7.771 Å; angles 99.47, 99.47, 119.95 degrees
Sites, in units of the cell vectors:
Pm  0.171  0.829  0.500
Pm  0.829  0.171  0.500
Pm  0.500  0.500  0.500
Te  0.757  0.757  0.249
Te  0.081  0.408  0.243
Te  0.919  0.592  0.757
Te  0.243  0.243  0.751
Te  0.408  0.081  0.243
Te  0.592  0.919  0.757
Er  0.000  0.000  0.000
Na  0.335  0.665  0.000
Na  0.665  0.335  0.000



Entry 2:
CaNdGa3O7 | PBE | optimized geometry

* ΔE_f (raw): -2409 meV/atom
* excess energy over the best structure of this formula in the dataset: 6.5 meV/atom
* space group: Cmm2, No. 35

Cell lengths 7.986, 7.986, 5.292 Å; angles 90.00, 90.00, 90.63 degrees
Sites, in units of the cell vectors:
Ca  0.341  0.341  0.479
Ca  0.659  0.659  0.479
O  0.644  0.356  0.305
O  0.865  0.865  0.690
O  0.356  0.644  0.305
O  0.155  0.598  0.791
O  0.598  0.155  0.791
O  0.500  0.500  0.793
O  0.402  0.845  0.791
O  0.911  0.662  0.215
O  0.089  0.338  0.215
O  0.338  0.089  0.215
O  0.662  0.911  0.215
O  0.135  0.135  0.690
O  0.845  0.402  0.791
O  0.000  0.000  0.204
Ga  0.000  0.500  0.006
Ga  0.854  0.854  0.033
Ga  0.643  0.357  0.962
Ga  0.500  0.000  0.006
Ga  0.357  0.643  0.962
Ga  0.146  0.146  0.033
Nd  0.838  0.162  0.511
Nd  0.162  0.838  0.511



Entry 3:
YTlZnPd | PBE | optimized geometry

* DFT formation energy: -0.43 eV per atom
* space group: F-43m, No. 216

Cell lengths 4.869, 4.869, 4.869 Å; angles 60.00, 60.00, 60.00 degrees
Sites, in units of the cell vectors:
Tl  0.250  0.250  0.250
Zn  0.000  0.000  0.000
Y  0.750  0.750  0.750
Pd  0.500  0.500  0.500